(1)
Computed, not measured: Na2ZnNi3F12 after structural relaxation at the PBE+U level of DFT.

Unit cell a=7.2256 b=7.2256 c=17.8215 alpha=90.00 beta=90.00 gamma=120.00
Space group R-3m (No. 166, hexagonal axes)
Inequivalent atoms, fractional coordinates:
Na (0.0000, 0.0000, 0.2003) [6 per cell]
Zn (0.0000, 0.0000, 0.5000) [3 per cell]
Ni (0.0000, 0.5000, 0.0000) [9 per cell]
F (0.0579, 0.5289, 0.1072) [18 per cell]
F (0.0824, 0.5412, 0.3576) [18 per cell]

**Raw total energy**: -3.978 eV per atom
**Fermi-level density of states**: 10.023 states/eV per cell
**Total magnetization**: 4.00 μB per formula unit

(2)
Computed, not measured: NaZnNiF6 after structural relaxation at the PBE+U level of DFT.

Unit cell a=5.2814 b=5.2814 c=9.7384 alpha=90.00 beta=90.00 gamma=120.00
Space group P-31c (No. 163)
Inequivalent atoms, fractional coordinates:
Na (0.0000, 0.0000, 0.0000) [2 per cell]
Zn (0.3333, 0.6667, 0.2500) [2 per cell]
Ni (0.3333, 0.6667, 0.7500) [2 per cell]
F (0.0207, 0.3718, 0.6416) [12 per cell]

**Raw total energy**: -3.998 eV per atom
**Fermi-level density of states**: 0.000 states/eV per cell
**Total magnetization**: 3.10 μB per formula unit

(3)
Computed, not measured: NaZnNi2F8 after structural relaxation at the PBE+U level of DFT.

Unit cell a=4.788 b=4.797 c=6.302 alpha=88.96 beta=88.96 gamma=87.62
Space group P-1 (No. 2)
Inequivalent atoms, fractional coordinates:
Na (0.000, 0.000, 0.000) [1 per cell]
Zn (0.000, 0.000, 0.500) [1 per cell]
Ni (0.499, 0.499, 0.251) [2 per cell]
F (0.209, 0.791, 0.727) [2 per cell]
F (0.212, 0.793, 0.273) [2 per cell]
F (0.307, 0.309, 0.495) [2 per cell]
F (0.321, 0.323, 0.996) [2 per cell]

**Raw total energy**: -4.026 eV per atom
**Fermi-level density of states**: 3.484 states/eV per cell
**Total magnetization**: 2.99 μB per formula unit

(4)
Computed, not measured: NaZr2NiF11 after structural relaxation at the PBE+U level of DFT.

Unit cell a=9.199 b=6.784 c=7.864 alpha=90.00 beta=116.12 gamma=90.00
Space group C2/m (No. 12)
Inequivalent atoms, fractional coordinates:
Na (0.000, 0.000, 0.000) [2 per cell]
Zr (0.008, 0.500, 0.237) [4 per cell]
Ni (0.000, 0.000, 0.500) [2 per cell]
F (0.000, 0.328, 0.000) [4 per cell]
F (0.000, 0.500, 0.500) [2 per cell]
F (0.017, 0.204, 0.315) [8 per cell]
F (0.232, 0.500, 0.890) [4 per cell]
F (0.244, 0.000, 0.648) [4 per cell]

**Raw total energy**: -6.069 eV per atom
**Fermi-level density of states**: 0.000 states/eV per cell
**Total magnetization**: 2.07 μB per formula unit